A plane-wave DFT calculation with GGA-PBE was carried out for PaCdO3 after structural relaxation.

Cell: 3.749 3.749 5.501 Å, 90.00 90.00 90.00°
Sites, in units of the cell vectors:
Cd: 0.500 0.500 0.474
O: 0.500 0.500 0.092
O: 0.500 0.000 0.702
O: 0.000 0.500 0.702
Pa: 0.000 0.000 0.930

Space-group type: No. 99
Magnetization (μB/f.u.): 1.0
DFT total energy (eV per atom): -6.839